This record from the Alexandria database describes a geometry-optimized Tb6PmEr2Tm3 structure. The functional is GGA-PBE.

Structure (extended XYZ):
```
12
Lattice="6.130 0.002 0.013 -3.062 5.310 0.013 -1.041 -1.803 11.536" Properties=species:S:1:pos:R:3 pbc="T T T"
Tb -0.018 3.512 8.647
Tb 2.044 -0.004 2.915
Tb -1.025 1.769 2.915
Tb 3.051 1.740 8.647
Tb 2.041 3.534 2.927
Tb -0.014 -0.025 8.634
Tm 4.074 -0.013 5.781
Tm 1.013 1.754 5.781
Tm -2.048 3.522 5.781
Er 0.002 3.541 0.013
Er 3.066 1.771 0.013
Pm 0.000 0.000 0.000
```

Properties
The value obtained for the total moment is 0.00 Bohr magnetons per cell. The value obtained for the energy of formation from the pure elements is 0.02 eV per atom. As for the space-group type: C2/m. The total energy is -54.9 eV per formula unit.